(1)
Computed, not measured: an optimized crystal structure of CaAgW2 at the GGA-PBE level of DFT.

```
CaAgW2
1.0
-1.679 2.562 4.715
1.679 -2.562 4.715
1.679 2.562 -4.715
Ca Ag W
1 1 2
Direct
0.000 0.000 0.000
0.731 0.231 0.500
0.282 0.782 0.500
0.472 0.472 0.000
```

## Properties
ΔH_f (0 K)   0.792 eV per atom
Space group   Imm2
M_tot   0.000 μB/atom

(2)
Computed, not measured: an optimized crystal structure of Y3Ho3Tm at the GGA-PBE level of DFT.

```
Y3Ho3Tm
1.0
3.080 1.778 14.077
-3.080 1.778 14.077
0.000 -3.556 14.077
Y Ho Tm
6 6 2
Direct
0.066 0.732 0.400
0.268 0.600 0.934
0.400 0.066 0.732
0.600 0.934 0.268
0.732 0.400 0.066
0.934 0.268 0.600
0.133 0.464 0.802
0.198 0.867 0.536
0.464 0.802 0.133
0.536 0.198 0.867
0.802 0.133 0.464
0.867 0.536 0.198
0.333 0.333 0.333
0.667 0.667 0.667
```

## Properties
ΔH_f (0 K)   0.145 eV per atom
Space group   R-3
M_tot   0.000 μB/atom

(3)
Computed, not measured: an optimized crystal structure of TbPaTe2N at the GGA-PBE level of DFT.

```
TbPaTe2N
1.0
4.109 0.000 0.000
0.000 4.109 0.000
0.000 0.000 14.769
Tb Pa Te N
2 2 4 2
Direct
0.250 0.250 0.087
0.750 0.750 0.913
0.250 0.250 0.574
0.750 0.750 0.426
0.250 0.250 0.310
0.250 0.250 0.873
0.750 0.750 0.127
0.750 0.750 0.690
0.250 0.750 0.500
0.750 0.250 0.500
```

## Properties
Space group   P4/nmm
Formation energy from raw total energies   -1458 meV per atom
M_tot   0.060 μB/atom